A plane-wave DFT calculation with PBE-GGA was carried out for a relaxed NdSmGe2Pt5 crystal.

CIF file:
```
data_NdSmGe2Pt5
_chemical_formula_sum 'Nd1 Sm1 Ge2 Pt5'
_space_group_name_H-M_alt 'P 1'
_space_group_IT_number 1
_cell_length_a 4.3307
_cell_length_b 4.3307
_cell_length_c 9.0748
_cell_angle_alpha 90.00
_cell_angle_beta 90.00
_cell_angle_gamma 90.00
loop_
_space_group_symop_operation_xyz
'x,y,z'
loop_
_atom_site_label
_atom_site_type_symbol
_atom_site_fract_x
_atom_site_fract_y
_atom_site_fract_z
Nd1 Nd 0.0000 0.0000 0.0000
Sm1 Sm 0.0000 0.0000 0.5000
Ge1 Ge 0.5000 0.5000 0.3638
Ge2 Ge 0.5000 0.5000 0.6362
Pt1 Pt 0.0000 0.5000 0.2300
Pt2 Pt 0.0000 0.5000 0.7700
Pt3 Pt 0.5000 0.0000 0.2300
Pt4 Pt 0.5000 0.0000 0.7700
Pt5 Pt 0.5000 0.5000 0.0000
```

Results
- ΔE_f: -8.053 eV/f.u.
- Size of the total moment: 0.0 μB per cell
- Space-group type: P4/mmm

***

A plane-wave DFT calculation with PBE-GGA was carried out for a relaxed MgTaSe2 crystal.

CIF file:
```
data_MgTaSe2
_chemical_formula_sum 'Mg2 Ta2 Se4'
_space_group_name_H-M_alt 'P 1'
_space_group_IT_number 1
_cell_length_a 5.1149
_cell_length_b 3.5284
_cell_length_c 9.0728
_cell_angle_alpha 90.00
_cell_angle_beta 90.00
_cell_angle_gamma 90.00
loop_
_space_group_symop_operation_xyz
'x,y,z'
loop_
_atom_site_label
_atom_site_type_symbol
_atom_site_fract_x
_atom_site_fract_y
_atom_site_fract_z
Mg1 Mg 0.0000 0.0000 0.0000
Mg2 Mg 0.0000 0.5000 0.5000
Ta1 Ta 0.5000 0.0000 0.6504
Ta2 Ta 0.5000 0.5000 0.1504
Se1 Se 0.0000 0.0000 0.7114
Se2 Se 0.0000 0.5000 0.2114
Se3 Se 0.5000 0.0000 0.3649
Se4 Se 0.5000 0.5000 0.8649
```

Results
- Formation energy (no corrections): -0.42 eV/atom
- Size of the total moment: 0.0 μB per cell
- Space-group type: Amm2

***

A plane-wave DFT calculation with PBE-GGA was carried out for a relaxed TeBrF crystal.

CIF file:
```
data_TeBrF
_chemical_formula_sum 'Te2 Br2 F2'
_space_group_name_H-M_alt 'P 1'
_space_group_IT_number 1
_cell_length_a 4.8817
_cell_length_b 5.5356
_cell_length_c 7.4339
_cell_angle_alpha 100.80
_cell_angle_beta 95.27
_cell_angle_gamma 90.95
loop_
_space_group_symop_operation_xyz
'x,y,z'
loop_
_atom_site_label
_atom_site_type_symbol
_atom_site_fract_x
_atom_site_fract_y
_atom_site_fract_z
Te1 Te 0.0000 0.0000 0.0000
Te2 Te 0.4684 0.9686 0.7253
Br1 Br 0.1479 0.4547 0.0762
Br2 Br 0.6770 0.0290 0.4291
F1 F 0.1933 0.7565 0.5613
F2 F 0.5957 0.6466 0.7582
```

Results
- Energy above the lowest structure with this stoichiometry: 95.7 meV per atom
- Formation energy (no corrections): -0.85 eV/atom
- Size of the total moment: 0.0 μB per cell
- Space-group type: P1

***

A plane-wave DFT calculation with PBE-GGA was carried out for a relaxed HoPd8Au2 crystal.

CIF file:
```
data_HoPd8Au2
_chemical_formula_sum 'Ho1 Pd8 Au2'
_space_group_name_H-M_alt 'P 1'
_space_group_IT_number 1
_cell_length_a 4.9271
_cell_length_b 5.5397
_cell_length_c 7.9460
_cell_angle_alpha 69.60
_cell_angle_beta 72.18
_cell_angle_gamma 89.97
loop_
_space_group_symop_operation_xyz
'x,y,z'
loop_
_atom_site_label
_atom_site_type_symbol
_atom_site_fract_x
_atom_site_fract_y
_atom_site_fract_z
Ho1 Ho 0.0000 0.0000 0.0000
Pd1 Pd 0.1931 0.1933 0.6135
Pd2 Pd 0.2492 0.5057 0.9994
Pd3 Pd 0.3604 0.1013 0.2760
Pd4 Pd 0.3636 0.6222 0.2764
Pd5 Pd 0.6364 0.3778 0.7236
Pd6 Pd 0.6396 0.8987 0.7240
Pd7 Pd 0.7508 0.4943 0.0006
Pd8 Pd 0.8069 0.8067 0.3865
Au1 Au 0.1806 0.6814 0.6370
Au2 Au 0.8194 0.3186 0.3630
```

Results
- Energy above the lowest structure with this stoichiometry: 0.0 meV per atom
- ΔE_f: -2.617 eV/f.u.
- Size of the total moment: 0.0 μB per cell
- Space-group type: P-1